Record 1
Computed, not measured: crystalline ZnIr2 at its relaxed geometry at the PBE level of DFT.

```
6
Lattice="0.000 3.654 3.654 3.654 0.000 3.654 3.654 3.654 0.000" Properties=species:S:1:pos:R:3 pbc="T T T"
Zn 0.914 0.914 0.914
Zn 6.395 6.395 6.395
Ir 3.654 1.827 1.827
Ir 1.827 3.654 1.827
Ir 1.827 1.827 3.654
Ir 3.654 3.654 3.654
```

Results
Spin magnetization ... 0.280 μB per cell
Volume ... 98 Å³/cell
Formation enthalpy at 0 K ... 332 meV per atom
VASP energy ... -5.993 eV/atom


Record 2
Computed, not measured: crystalline ZnIr124 at its relaxed geometry at the PBE level of DFT.

```
125
Lattice="0.000 9.682 9.682 9.682 0.000 9.682 9.682 9.682 0.000" Properties=species:S:1:pos:R:3 pbc="T T T"
Zn 0.000 0.000 0.000
Ir 1.943 1.943 0.000
Ir 3.882 3.882 0.000
Ir 5.800 5.800 0.000
Ir 7.739 7.739 0.000
Ir 3.870 1.937 1.937
Ir 5.810 3.872 1.939
Ir 7.745 5.812 1.937
Ir 1.943 0.000 1.943
Ir 9.682 7.739 1.943
Ir 5.810 1.939 3.872
Ir 7.743 3.872 3.872
Ir 11.619 17.427 13.552
Ir 3.882 0.000 3.882
Ir 9.682 5.800 3.882
Ir 5.800 0.000 5.800
Ir 9.682 3.882 5.800
Ir 7.745 1.937 5.812
Ir 11.621 15.492 15.492
Ir 13.554 17.425 15.492
Ir 7.739 0.000 7.739
Ir 9.682 1.943 7.739
Ir 11.619 13.552 17.427
Ir 13.554 15.492 17.425
Ir 15.494 17.427 17.427
Ir 9.682 9.682 3.861
Ir 9.682 3.861 9.682
Ir 15.503 9.682 9.682
Ir 1.937 3.870 1.937
Ir 3.872 5.810 1.939
Ir 5.812 7.745 1.937
Ir 1.937 1.937 3.870
Ir 3.872 3.872 3.872
Ir 5.810 5.810 3.872
Ir 7.745 7.745 3.870
Ir 3.872 1.939 5.810
Ir 5.810 3.872 5.810
Ir 7.743 5.810 5.810
Ir 9.682 7.747 5.807
Ir 11.616 9.682 5.807
Ir 5.812 1.937 7.745
Ir 7.745 3.870 7.745
Ir 9.682 5.807 7.747
Ir 11.619 7.745 7.745
Ir 13.557 9.682 7.747
Ir 11.616 5.807 9.682
Ir 13.557 7.747 9.682
Ir 0.000 1.943 1.943
Ir 7.739 9.682 1.943
Ir 7.739 1.943 9.682
Ir 1.939 5.810 3.872
Ir 3.872 7.743 3.872
Ir 17.427 11.619 13.552
Ir 1.939 3.872 5.810
Ir 3.872 5.810 5.810
Ir 5.810 7.743 5.810
Ir 7.747 9.682 5.807
Ir 9.682 11.616 5.807
Ir 3.872 3.872 7.743
Ir 5.810 5.810 7.743
Ir 7.745 7.745 7.745
Ir 9.682 9.682 7.747
Ir 11.619 11.619 7.745
Ir 7.747 5.807 9.682
Ir 9.682 7.747 9.682
Ir 11.617 9.682 9.682
Ir 13.557 11.616 9.682
Ir 17.427 13.552 11.619
Ir 9.682 5.807 11.616
Ir 11.619 7.745 11.619
Ir 13.557 9.682 11.616
Ir 15.494 11.619 11.619
Ir 0.000 3.882 3.882
Ir 5.800 9.682 3.882
Ir 5.800 3.882 9.682
Ir 0.000 5.800 5.800
Ir 3.882 9.682 5.800
Ir 3.882 5.800 9.682
Ir 1.937 7.745 5.812
Ir 15.492 11.621 15.492
Ir 17.425 13.554 15.492
Ir 1.937 5.812 7.745
Ir 3.870 7.745 7.745
Ir 5.807 9.682 7.747
Ir 7.745 11.619 7.745
Ir 9.682 13.557 7.747
Ir 5.807 7.747 9.682
Ir 7.747 9.682 9.682
Ir 9.682 11.617 9.682
Ir 11.616 13.557 9.682
Ir 15.492 15.492 11.621
Ir 7.745 7.745 11.619
Ir 9.682 9.682 11.617
Ir 11.619 11.619 11.619
Ir 13.554 13.554 11.621
Ir 17.425 15.492 13.554
Ir 9.682 7.747 13.557
Ir 11.616 9.682 13.557
Ir 13.554 11.621 13.554
Ir 15.492 13.554 13.554
Ir 0.000 7.739 7.739
Ir 1.943 9.682 7.739
Ir 1.943 7.739 9.682
Ir 13.552 11.619 17.427
Ir 15.492 13.554 17.425
Ir 17.427 15.494 17.427
Ir 5.807 11.616 9.682
Ir 7.747 13.557 9.682
Ir 13.552 17.427 11.619
Ir 5.807 9.682 11.616
Ir 7.745 11.619 11.619
Ir 9.682 13.557 11.616
Ir 11.619 15.494 11.619
Ir 15.492 17.425 13.554
Ir 7.747 9.682 13.557
Ir 9.682 11.616 13.557
Ir 11.621 13.554 13.554
Ir 13.554 15.492 13.554
Ir 17.427 17.427 15.494
Ir 11.619 11.619 15.494
Ir 13.554 13.554 15.492
Ir 15.492 15.492 15.492
Ir 3.861 9.682 9.682
Ir 9.682 15.503 9.682
Ir 9.682 9.682 15.503
```

Results
Spin magnetization ... 0.029 μB per cell
Volume ... 1815 Å³/cell
Formation enthalpy at 0 K ... -8 meV per atom
VASP energy ... -8.802 eV/atom


Record 3
Computed, not measured: crystalline ZnIr at its relaxed geometry at the PBE level of DFT.

```
16
Lattice="4.478 0.000 0.000 0.000 10.725 0.000 0.000 0.000 4.731" Properties=species:S:1:pos:R:3 pbc="T T T"
Zn 1.120 10.722 0.794
Zn 1.120 1.349 3.122
Zn 1.120 4.013 3.122
Zn 1.120 5.366 0.794
Zn 3.359 0.003 3.937
Zn 3.359 5.359 3.937
Zn 3.359 6.712 1.609
Zn 3.359 9.376 1.609
Ir 1.120 2.681 0.754
Ir 1.120 6.696 3.160
Ir 1.120 8.044 0.743
Ir 1.120 9.391 3.160
Ir 3.359 1.334 1.571
Ir 3.359 2.681 3.987
Ir 3.359 4.029 1.571
Ir 3.359 8.044 3.977
```

Results
Spin magnetization ... 0.015 μB per cell
Volume ... 227 Å³/cell
Formation enthalpy at 0 K ... -131 meV per atom
VASP energy ... -5.191 eV/atom


Record 4
Computed, not measured: crystalline Zn4Ir3 at its relaxed geometry at the PBE level of DFT.

```
14
Lattice="7.199 0.000 0.000 -3.600 6.235 0.000 0.000 0.000 4.433" Properties=species:S:1:pos:R:3 pbc="T T T"
Zn -0.559 1.514 1.108
Zn -2.009 5.962 1.108
Zn 1.031 1.241 3.325
Zn 0.000 4.157 1.108
Zn 3.600 2.078 3.325
Zn 2.568 4.994 1.108
Zn 5.609 0.272 3.325
Zn 4.159 4.721 3.325
Ir -1.020 2.927 3.325
Ir -0.555 5.655 3.325
Ir 2.025 2.347 1.108
Ir 1.575 3.888 3.325
Ir 4.154 0.580 1.108
Ir 4.620 3.308 1.108
```

Results
Spin magnetization ... 0.021 μB per cell
Volume ... 199 Å³/cell
Formation enthalpy at 0 K ... -65 meV per atom
VASP energy ... -4.583 eV/atom


Record 5
Computed, not measured: crystalline ZnIr at its relaxed geometry at the PBE level of DFT.

```
8
Lattice="2.763 0.000 0.000 0.000 4.462 0.000 0.000 0.000 9.372" Properties=species:S:1:pos:R:3 pbc="T T T"
Zn 0.691 1.115 0.432
Zn 0.691 3.346 2.027
Zn 2.072 1.115 7.345
Zn 2.072 3.346 8.940
Ir 0.691 1.115 5.000
Ir 0.691 3.346 6.674
Ir 2.072 1.115 2.697
Ir 2.072 3.346 4.372
```

Results
Spin magnetization ... 0.027 μB per cell
Volume ... 116 Å³/cell
Formation enthalpy at 0 K ... -39 meV per atom
VASP energy ... -5.099 eV/atom


Record 6
Computed, not measured: crystalline Zn3Ir at its relaxed geometry at the PBE level of DFT.

```
8
Lattice="1.469 -4.919 0.000 1.469 4.919 0.000 0.000 0.000 8.225" Properties=species:S:1:pos:R:3 pbc="T T T"
Zn 1.469 4.646 6.169
Zn 1.469 1.287 4.384
Zn 1.469 1.287 7.953
Zn 1.469 -1.287 0.271
Zn 1.469 -1.287 3.841
Zn 1.469 -4.646 2.056
Ir 1.469 2.453 2.056
Ir 1.469 -2.453 6.169
```

Results
Spin magnetization ... 0.011 μB per cell
Volume ... 119 Å³/cell
Formation enthalpy at 0 K ... -132 meV per atom
VASP energy ... -3.295 eV/atom